! SrPr2MoO6, optimized geometry, DFT PBE+U; values from VASP
&SYSTEM
  ibrav = 0, nat = 10, ntyp = 4
/
ATOMIC_SPECIES
Sr 87.62 Sr.upf
Pr 140.91 Pr.upf
Mo 95.94 Mo.upf
O 16.00 O.upf
CELL_PARAMETERS angstrom
5.946 0.000 0.000
-2.936 5.199 0.000
-0.030 -3.359 5.147
ATOMIC_POSITIONS crystal
Sr 0.000 0.000 0.000
Pr 0.220 0.448 0.667
Pr 0.731 0.459 0.188
Mo 0.516 0.030 0.546
O 0.152 0.555 0.340
O 0.330 0.197 0.804
O 0.407 0.179 0.346
O 0.600 0.941 0.813
O 0.766 0.931 0.346
O 0.872 0.481 0.815
! * space group: P1
! * uncorrected energy: -7.527 eV/atom